The following is a DFT calculation (PBE) of an optimized crystal structure of NbRe2Ir2.

Computed properties:
Space-group type: No. 127
E above lowest polymorph: 4 meV per atom
Calculated formation energy: -0.4 eV/f.u.

Unit cell a=7.6100 b=7.6100 c=2.7561 alpha=90.00 beta=90.00 gamma=90.00
Atoms (fractional coordinates):
1 Nb 0.0000 0.0000 0.0000
2 Nb 0.5000 0.5000 0.0000
3 Re 0.1226 0.3774 0.0000
4 Re 0.3774 0.8774 0.0000
5 Re 0.6226 0.1226 0.0000
6 Re 0.8774 0.6226 0.0000
7 Ir 0.1717 0.6717 0.5000
8 Ir 0.3283 0.1717 0.5000
9 Ir 0.6717 0.8283 0.5000
10 Ir 0.8283 0.3283 0.5000


The following is a DFT calculation (PBE) of an optimized crystal structure of Nb2ReIr.

Computed properties:
Space-group type: No. 122
Calculated formation energy: 5.2 eV/f.u.

Unit cell a=5.8554 b=5.8554 c=11.4766 alpha=90.00 beta=90.00 gamma=90.00
Atoms (fractional coordinates):
1 Nb 0.2495 0.2500 0.1250
2 Nb 0.2500 0.7495 0.3750
3 Nb 0.2500 0.7505 0.8750
4 Nb 0.2505 0.2500 0.6250
5 Nb 0.7495 0.7500 0.6250
6 Nb 0.7500 0.2495 0.8750
7 Nb 0.7500 0.2505 0.3750
8 Nb 0.7505 0.7500 0.1250
9 Re 0.0000 0.0000 0.5000
10 Re 0.0000 0.5000 0.7500
11 Re 0.5000 0.0000 0.2500
12 Re 0.5000 0.5000 0.0000
13 Ir 0.0000 0.0000 0.0000
14 Ir 0.0000 0.5000 0.2500
15 Ir 0.5000 0.0000 0.7500
16 Ir 0.5000 0.5000 0.5000


The following is a DFT calculation (PBE) of an optimized crystal structure of Nb2ReIr2.

Computed properties:
Space-group type: No. 127
E above lowest polymorph: 169 meV per atom
Calculated formation energy: 0.3 eV/f.u.

Unit cell a=7.7194 b=7.7194 c=2.8324 alpha=90.00 beta=90.00 gamma=90.00
Atoms (fractional coordinates):
1 Nb 0.1643 0.3357 0.0000
2 Nb 0.3357 0.8357 0.0000
3 Nb 0.6643 0.1643 0.0000
4 Nb 0.8357 0.6643 0.0000
5 Re 0.0000 0.0000 0.0000
6 Re 0.5000 0.5000 0.0000
7 Ir 0.1316 0.6316 0.5000
8 Ir 0.3684 0.1316 0.5000
9 Ir 0.6316 0.8684 0.5000
10 Ir 0.8684 0.3684 0.5000


The following is a DFT calculation (PBE) of an optimized crystal structure of Nb2ReIr2.

Computed properties:
Space-group type: No. 127
E above lowest polymorph: 0 meV per atom
Calculated formation energy: -0.6 eV/f.u.

Unit cell a=7.4822 b=7.4822 c=2.9670 alpha=90.00 beta=90.00 gamma=90.00
Atoms (fractional coordinates):
1 Nb 0.1707 0.3293 0.0000
2 Nb 0.3293 0.8293 0.0000
3 Nb 0.6707 0.1707 0.0000
4 Nb 0.8293 0.6707 0.0000
5 Re 0.0000 0.0000 0.5000
6 Re 0.5000 0.5000 0.5000
7 Ir 0.1299 0.6299 0.5000
8 Ir 0.3701 0.1299 0.5000
9 Ir 0.6299 0.8701 0.5000
10 Ir 0.8701 0.3701 0.5000


The following is a DFT calculation (PBE) of an optimized crystal structure of Nb3ReIr.

Computed properties:
Space-group type: No. 221
E above lowest polymorph: 46 meV per atom
Calculated formation energy: 7.2 eV/f.u.

Unit cell a=4.7683 b=4.7683 c=4.7683 alpha=90.00 beta=90.00 gamma=90.00
Atoms (fractional coordinates):
1 Nb 0.0000 0.0000 0.5000
2 Nb 0.0000 0.5000 0.0000
3 Nb 0.5000 0.0000 0.0000
4 Re 0.5000 0.5000 0.5000
5 Ir 0.0000 0.0000 0.0000


The following is a DFT calculation (PBE) of an optimized crystal structure of NbRe3Ir.

Computed properties:
Space-group type: No. 221
E above lowest polymorph: 0 meV per atom
Calculated formation energy: 10.2 eV/f.u.

Unit cell a=4.6697 b=4.6697 c=4.6697 alpha=90.00 beta=90.00 gamma=90.00
Atoms (fractional coordinates):
1 Nb 0.0000 0.0000 0.0000
2 Re 0.0000 0.5000 0.5000
3 Re 0.5000 0.0000 0.5000
4 Re 0.5000 0.5000 0.0000
5 Ir 0.5000 0.5000 0.5000


The following is a DFT calculation (PBE) of an optimized crystal structure of Nb2ReIr2.

Computed properties:
Space-group type: No. 139
E above lowest polymorph: 479 meV per atom
Calculated formation energy: 1.8 eV/f.u.

Unit cell a=3.5718 b=3.5718 c=13.9584 alpha=90.00 beta=90.00 gamma=90.00
Atoms (fractional coordinates):
1 Nb 0.0000 0.0000 0.1026
2 Nb 0.0000 0.0000 0.8974
3 Nb 0.5000 0.5000 0.3974
4 Nb 0.5000 0.5000 0.6026
5 Re 0.0000 0.0000 0.5000
6 Re 0.5000 0.5000 0.0000
7 Ir 0.0000 0.5000 0.2500
8 Ir 0.0000 0.5000 0.7500
9 Ir 0.5000 0.0000 0.2500
10 Ir 0.5000 0.0000 0.7500


The following is a DFT calculation (PBE) of an optimized crystal structure of NbReIr2.

Computed properties:
Space-group type: No. 225
E above lowest polymorph: 634 meV per atom
Calculated formation energy: 0.9 eV/f.u.

Unit cell a=6.3299 b=6.3299 c=6.3299 alpha=90.00 beta=90.00 gamma=90.00
Atoms (fractional coordinates):
1 Nb 0.0000 0.0000 0.0000
2 Nb 0.0000 0.5000 0.5000
3 Nb 0.5000 0.0000 0.5000
4 Nb 0.5000 0.5000 0.0000
5 Re 0.0000 0.0000 0.5000
6 Re 0.0000 0.5000 0.0000
7 Re 0.5000 0.0000 0.0000
8 Re 0.5000 0.5000 0.5000
9 Ir 0.2500 0.2500 0.2500
10 Ir 0.2500 0.2500 0.7500
11 Ir 0.2500 0.7500 0.2500
12 Ir 0.2500 0.7500 0.7500
13 Ir 0.7500 0.2500 0.2500
14 Ir 0.7500 0.2500 0.7500
15 Ir 0.7500 0.7500 0.2500
16 Ir 0.7500 0.7500 0.7500


The following is a DFT calculation (PBE) of an optimized crystal structure of NbRe3Ir.

Computed properties:
Space-group type: No. 221
E above lowest polymorph: 533 meV per atom
Calculated formation energy: 12.9 eV/f.u.

Unit cell a=4.6475 b=4.6475 c=4.6475 alpha=90.00 beta=90.00 gamma=90.00
Atoms (fractional coordinates):
1 Nb 0.0000 0.0000 0.0000
2 Re 0.0000 0.0000 0.5000
3 Re 0.0000 0.5000 0.0000
4 Re 0.5000 0.0000 0.0000
5 Ir 0.5000 0.5000 0.5000


The following is a DFT calculation (PBE) of an optimized crystal structure of NbReIr3.

Computed properties:
Space-group type: No. 8
E above lowest polymorph: 0 meV per atom
Calculated formation energy: -1.3 eV/f.u.

Unit cell a=9.2041 b=2.7696 c=6.8549 alpha=90.00 beta=119.02 gamma=90.00
Atoms (fractional coordinates):
1 Nb 0.0000 0.0000 0.0000
2 Nb 0.5000 0.5000 0.0000
3 Re 0.3892 0.0000 0.5750
4 Re 0.8892 0.5000 0.5750
5 Ir 0.1054 0.5000 0.4102
6 Ir 0.1955 0.0000 0.7894
7 Ir 0.2977 0.5000 0.1933
8 Ir 0.6054 0.0000 0.4102
9 Ir 0.6955 0.5000 0.7894
10 Ir 0.7977 0.0000 0.1933


The following is a DFT calculation (PBE) of an optimized crystal structure of Nb2ReIr.

Computed properties:
Space-group type: No. 123
Calculated formation energy: -1.1 eV/f.u.

Unit cell a=3.2628 b=3.2628 c=6.1964 alpha=90.00 beta=90.00 gamma=90.00
Atoms (fractional coordinates):
1 Nb 0.0000 0.0000 0.2466
2 Nb 0.0000 0.0000 0.7534
3 Re 0.5000 0.5000 0.0000
4 Ir 0.5000 0.5000 0.5000


The following is a DFT calculation (PBE) of an optimized crystal structure of NbReIr3.

Computed properties:
Space-group type: No. 221
E above lowest polymorph: 1901 meV per atom
Calculated formation energy: 8.2 eV/f.u.

Unit cell a=4.6910 b=4.6910 c=4.6910 alpha=90.00 beta=90.00 gamma=90.00
Atoms (fractional coordinates):
1 Nb 0.0000 0.0000 0.0000
2 Re 0.5000 0.5000 0.5000
3 Ir 0.0000 0.5000 0.5000
4 Ir 0.5000 0.0000 0.5000
5 Ir 0.5000 0.5000 0.0000


The following is a DFT calculation (PBE) of an optimized crystal structure of NbReIr2.

Computed properties:
Space-group type: No. 122
E above lowest polymorph: 789 meV per atom
Calculated formation energy: 1.5 eV/f.u.

Unit cell a=3.8882 b=3.8882 c=17.9709 alpha=90.00 beta=90.00 gamma=90.00
Atoms (fractional coordinates):
1 Nb 0.0000 0.0000 0.0000
2 Nb 0.0000 0.5000 0.2500
3 Nb 0.5000 0.0000 0.7500
4 Nb 0.5000 0.5000 0.5000
5 Re 0.0000 0.0000 0.5000
6 Re 0.0000 0.5000 0.7500
7 Re 0.5000 0.0000 0.2500
8 Re 0.5000 0.5000 0.0000
9 Ir 0.2397 0.2500 0.6250
10 Ir 0.2500 0.7397 0.8750
11 Ir 0.2500 0.7603 0.3750
12 Ir 0.2603 0.2500 0.1250
13 Ir 0.7397 0.7500 0.1250
14 Ir 0.7500 0.2397 0.3750
15 Ir 0.7500 0.2603 0.8750
16 Ir 0.7603 0.7500 0.6250


The following is a DFT calculation (PBE) of an optimized crystal structure of Nb14ReIr.

Computed properties:
Space-group type: No. 123
Calculated formation energy: -2.8 eV/f.u.

Unit cell a=6.5381 b=6.5381 c=6.5925 alpha=90.00 beta=90.00 gamma=90.00
Atoms (fractional coordinates):
1 Nb 0.0000 0.0000 0.0000
2 Nb 0.0000 0.5000 0.0000
3 Nb 0.0000 0.5000 0.5000
4 Nb 0.2486 0.2486 0.2544
5 Nb 0.2486 0.2486 0.7456
6 Nb 0.2486 0.7514 0.2544
7 Nb 0.2486 0.7514 0.7456
8 Nb 0.5000 0.0000 0.0000
9 Nb 0.5000 0.0000 0.5000
10 Nb 0.5000 0.5000 0.0000
11 Nb 0.7514 0.2486 0.2544
12 Nb 0.7514 0.2486 0.7456
13 Nb 0.7514 0.7514 0.2544
14 Nb 0.7514 0.7514 0.7456
15 Re 0.0000 0.0000 0.5000
16 Ir 0.5000 0.5000 0.5000


The following is a DFT calculation (PBE) of an optimized crystal structure of NbReIr3.

Computed properties:
Space-group type: No. 194
E above lowest polymorph: 696 meV per atom
Calculated formation energy: 2.2 eV/f.u.

Unit cell a=6.4301 b=6.4301 c=4.8889 alpha=90.00 beta=90.00 gamma=120.00
Atoms (fractional coordinates):
1 Nb 0.3333 0.6667 0.2500
2 Nb 0.6667 0.3333 0.7500
3 Re 0.0000 0.0000 0.0000
4 Re 0.0000 0.0000 0.5000
5 Ir 0.2026 0.4053 0.7500
6 Ir 0.2026 0.7974 0.7500
7 Ir 0.4053 0.2026 0.2500
8 Ir 0.5947 0.7974 0.7500
9 Ir 0.7974 0.2026 0.2500
10 Ir 0.7974 0.5947 0.2500


The following is a DFT calculation (PBE) of an optimized crystal structure of NbRe2Ir2.

Computed properties:
Space-group type: No. 127
E above lowest polymorph: 0 meV per atom
Calculated formation energy: -0.4 eV/f.u.

Unit cell a=7.6336 b=7.6336 c=2.7375 alpha=90.00 beta=90.00 gamma=90.00
Atoms (fractional coordinates):
1 Nb 0.0000 0.0000 0.0000
2 Nb 0.5000 0.5000 0.0000
3 Re 0.1733 0.3267 0.5000
4 Re 0.3267 0.8267 0.5000
5 Re 0.6733 0.1733 0.5000
6 Re 0.8267 0.6733 0.5000
7 Ir 0.1233 0.6233 0.0000
8 Ir 0.3767 0.1233 0.0000
9 Ir 0.6233 0.8767 0.0000
10 Ir 0.8767 0.3767 0.0000


The following is a DFT calculation (PBE) of an optimized crystal structure of NbReIr2.

Computed properties:
Space-group type: No. 123
E above lowest polymorph: 0 meV per atom
Calculated formation energy: -1.6 eV/f.u.

Unit cell a=3.9437 b=3.9437 c=3.9382 alpha=90.00 beta=90.00 gamma=90.00
Atoms (fractional coordinates):
1 Nb 0.0000 0.0000 0.0000
2 Re 0.5000 0.5000 0.0000
3 Ir 0.0000 0.5000 0.5000
4 Ir 0.5000 0.0000 0.5000


The following is a DFT calculation (PBE) of an optimized crystal structure of Nb3ReIr.

Computed properties:
Space-group type: No. 221
E above lowest polymorph: 0 meV per atom
Calculated formation energy: 6.9 eV/f.u.

Unit cell a=4.7733 b=4.7733 c=4.7733 alpha=90.00 beta=90.00 gamma=90.00
Atoms (fractional coordinates):
1 Nb 0.0000 0.0000 0.5000
2 Nb 0.0000 0.5000 0.0000
3 Nb 0.5000 0.0000 0.0000
4 Re 0.0000 0.0000 0.0000
5 Ir 0.5000 0.5000 0.5000


The following is a DFT calculation (PBE) of an optimized crystal structure of Nb2ReIr5Rh.

Computed properties:
Space-group type: No. 140
Calculated formation energy: 4.1 eV/f.u.

Unit cell a=7.6060 b=7.6060 c=7.6060 alpha=122.54 beta=122.54 gamma=85.65
Atoms (fractional coordinates):
1 Nb 0.1185 0.6185 0.7370
2 Nb 0.3815 0.1185 0.5000
3 Nb 0.6185 0.8815 0.5000
4 Nb 0.8815 0.3815 0.2630
5 Re 0.2500 0.2500 0.0000
6 Re 0.7500 0.7500 0.0000
7 Ir 0.0000 0.0000 0.0000
8 Ir 0.0696 0.1512 0.5000
9 Ir 0.1512 0.6512 0.0816
10 Ir 0.3488 0.4304 0.5000
11 Ir 0.4304 0.9304 0.0816
12 Ir 0.5000 0.5000 0.0000
13 Ir 0.5696 0.0696 0.9184
14 Ir 0.6512 0.5696 0.5000
15 Ir 0.8488 0.3488 0.9184
16 Ir 0.9304 0.8488 0.5000
17 Rh 0.2500 0.7500 0.5000
18 Rh 0.7500 0.2500 0.5000


The following is a DFT calculation (PBE) of an optimized crystal structure of NbReIr2Se.

Computed properties:
Space-group type: No. 123
ΔE_f (raw): 9.2 eV per formula unit

Unit cell a=4.7869 b=4.7869 c=4.8118 alpha=90.00 beta=90.00 gamma=90.00
Atoms (fractional coordinates):
1 Nb 0.0000 0.0000 0.0000
2 Re 0.5000 0.5000 0.5000
3 Ir 0.0000 0.5000 0.0000
4 Ir 0.5000 0.0000 0.0000
5 Se 0.0000 0.0000 0.5000


Number 1: ρ 17.7 g/cm3. Number 2: ρ 9.5 g/cm3. Number 3: ρ 14.9 g/cm3. Number 4: ρ 15.1 g/cm3. Number 5: ρ 10.1 g/cm3. Number 6: ρ 13.8 g/cm3. Number 7: ρ 14.1 g/cm3. Number 8: ρ 17.4 g/cm3. Number 9: ρ 14.0 g/cm3. Number 10: ρ 18.6 g/cm3. Number 11: ρ 14.2 g/cm3. Number 12: ρ 13.8 g/cm3. Number 13: ρ 16.2 g/cm3. Number 14: ρ 9.9 g/cm3. Number 15: ρ 16.2 g/cm3. Number 16: ρ 17.7 g/cm3. Number 17: ρ 18.0 g/cm3. Number 18: ρ 10.0 g/cm3. Number 19: ρ 16.0 g/cm3. Number 20: ρ 11.2 g/cm3.